[1]
Crystalline Li6Mo2O7 at its relaxed geometry. Source: Alexandria, functional GGA-PBEsol.

Computed properties:
DOS(E_F) = 7.9 states/eV per cell
magnetization = 0.00 μB/cell
raw formation energy = -1997 meV/atom
calculated volume = 272 Å³ per cell

Unit cell a=5.719 b=8.132 c=5.852 alpha=90.00 beta=90.00 gamma=90.00
Space group Pma2 (No. 28)
Unique sites:
Li1 0.000 0.000 0.000 (multiplicity 2)
Li2 0.000 0.000 0.405 (multiplicity 2)
Li3 0.000 0.500 0.500 (multiplicity 2)
Li4 0.250 0.226 0.229 (multiplicity 2)
Li5 0.250 0.267 0.686 (multiplicity 2)
Li6 0.250 0.736 0.699 (multiplicity 2)
Mo1 0.000 0.500 0.998 (multiplicity 2)
Mo2 0.250 0.739 0.216 (multiplicity 2)
O1 0.004 0.752 0.965 (multiplicity 4)
O2 0.015 0.761 0.455 (multiplicity 4)
O3 0.250 0.478 0.256 (multiplicity 2)
O4 0.250 0.500 0.745 (multiplicity 2)
O5 0.250 0.983 0.199 (multiplicity 2)

=====

[2]
Crystalline Li2MoO3 at its relaxed geometry. Source: Alexandria, functional GGA-PBEsol.

Computed properties:
DOS(E_F) = 6.5 states/eV per cell
magnetization = 3.63 μB/cell
raw formation energy = -2073 meV/atom
energy above the lowest structure with this stoichiometry = 0.671 kcal/mol of atoms
calculated volume = 425 Å³ per cell

Unit cell a=5.747 b=8.300 c=10.068 alpha=68.07 beta=73.81 gamma=89.88
Space group P-1 (No. 2)
Unique sites:
Li1 0.000 0.000 0.000 (multiplicity 1)
Li2 0.000 0.000 0.500 (multiplicity 1)
Li3 0.000 0.500 0.000 (multiplicity 1)
Li4 0.000 0.500 0.500 (multiplicity 1)
Li5 0.153 0.187 0.151 (multiplicity 2)
Li6 0.162 0.659 0.683 (multiplicity 2)
Li7 0.327 0.338 0.328 (multiplicity 2)
Li8 0.328 0.337 0.837 (multiplicity 2)
Li9 0.332 0.832 0.840 (multiplicity 2)
Li10 0.500 0.000 0.000 (multiplicity 1)
Li11 0.500 0.500 0.500 (multiplicity 1)
Mo1 0.135 0.170 0.676 (multiplicity 2)
Mo2 0.153 0.684 0.173 (multiplicity 2)
Mo3 0.308 0.828 0.326 (multiplicity 2)
Mo4 0.500 0.000 0.500 (multiplicity 1)
Mo5 0.500 0.500 0.000 (multiplicity 1)
O1 0.002 0.747 0.499 (multiplicity 2)
O2 0.010 0.747 0.014 (multiplicity 2)
O3 0.163 0.416 0.666 (multiplicity 2)
O4 0.171 0.435 0.160 (multiplicity 2)
O5 0.174 0.932 0.663 (multiplicity 2)
O6 0.174 0.945 0.147 (multiplicity 2)
O7 0.326 0.584 0.335 (multiplicity 2)
O8 0.331 0.066 0.339 (multiplicity 2)
O9 0.346 0.098 0.815 (multiplicity 2)
O10 0.350 0.579 0.847 (multiplicity 2)
O11 0.487 0.738 0.014 (multiplicity 2)
O12 0.490 0.244 0.515 (multiplicity 2)

=====

[3]
Crystalline LiMo4P4O22 at its relaxed geometry. Source: Alexandria, functional GGA-PBEsol.

Computed properties:
DOS(E_F) = 1.9 states/eV per cell
magnetization = 1.02 μB/cell
raw formation energy = -2078 meV/atom
calculated volume = 409 Å³ per cell

Unit cell a=6.372 b=7.459 c=8.938 alpha=74.35 beta=89.50 gamma=89.77
Space group P-1 (No. 2)
Unique sites:
Li1 0.000 0.000 0.000 (multiplicity 1)
Mo1 0.249 0.890 0.705 (multiplicity 2)
Mo2 0.250 0.668 0.149 (multiplicity 2)
P1 0.249 0.011 0.326 (multiplicity 2)
P2 0.250 0.424 0.884 (multiplicity 2)
O1 0.058 0.140 0.317 (multiplicity 2)
O2 0.063 0.290 0.886 (multiplicity 2)
O3 0.225 0.858 0.908 (multiplicity 2)
O4 0.229 0.916 0.190 (multiplicity 2)
O5 0.242 0.474 0.043 (multiplicity 2)
O6 0.243 0.535 0.330 (multiplicity 2)
O7 0.246 0.123 0.641 (multiplicity 2)
O8 0.249 0.594 0.748 (multiplicity 2)
O9 0.266 0.863 0.480 (multiplicity 2)
O10 0.445 0.138 0.291 (multiplicity 2)
O11 0.451 0.303 0.888 (multiplicity 2)

=====

[4]
Crystalline Li3MoP2O9 at its relaxed geometry. Source: Alexandria, functional GGA-PBEsol.

Computed properties:
DOS(E_F) = 4.5 states/eV per cell
magnetization = 0.91 μB/cell
raw formation energy = -2208 meV/atom
calculated volume = 354 Å³ per cell

Unit cell a=7.063 b=7.087 c=7.871 alpha=64.19 beta=88.75 gamma=87.25
Space group P1 (No. 1)
Unique sites:
Li1 0.000 0.000 0.000 (multiplicity 1)
Li2 0.091 0.706 0.574 (multiplicity 1)
Li3 0.242 0.154 0.333 (multiplicity 1)
Li4 0.407 0.597 0.075 (multiplicity 1)
Li5 0.502 0.201 0.647 (multiplicity 1)
Li6 0.740 0.387 0.825 (multiplicity 1)
Mo1 0.741 0.157 0.330 (multiplicity 1)
Mo2 0.750 0.665 0.315 (multiplicity 1)
P1 0.045 0.282 0.572 (multiplicity 1)
P2 0.444 0.049 0.074 (multiplicity 1)
P3 0.506 0.770 0.631 (multiplicity 1)
P4 0.988 0.535 0.017 (multiplicity 1)
O1 0.175 0.461 0.121 (multiplicity 1)
O2 0.231 0.042 0.079 (multiplicity 1)
O3 0.258 0.259 0.566 (multiplicity 1)
O4 0.318 0.838 0.529 (multiplicity 1)
O5 0.501 0.152 0.208 (multiplicity 1)
O6 0.509 0.652 0.842 (multiplicity 1)
O7 0.522 0.809 0.167 (multiplicity 1)
O8 0.547 0.165 0.890 (multiplicity 1)
O9 0.620 0.980 0.570 (multiplicity 1)
O10 0.625 0.626 0.555 (multiplicity 1)
O11 0.662 0.404 0.351 (multiplicity 1)
O12 0.828 0.924 0.293 (multiplicity 1)
O13 0.852 0.342 0.084 (multiplicity 1)
O14 0.890 0.699 0.086 (multiplicity 1)
O15 0.939 0.204 0.757 (multiplicity 1)
O16 0.976 0.163 0.453 (multiplicity 1)
O17 0.984 0.524 0.460 (multiplicity 1)
O18 0.984 0.630 0.806 (multiplicity 1)

=====

[5]
Crystalline Li3MoP8O24 at its relaxed geometry. Source: Alexandria, functional GGA-PBEsol.

Computed properties:
DOS(E_F) = 13.3 states/eV per cell
magnetization = 2.00 μB/cell
raw formation energy = -2111 meV/atom
calculated volume = 848 Å³ per cell

Unit cell a=11.980 b=8.263 c=9.892 alpha=90.00 beta=120.02 gamma=90.00
Space group C2 (No. 5)
Unique sites:
Li1 0.000 0.000 0.000 (multiplicity 2)
Li2 0.212 0.816 0.203 (multiplicity 4)
Mo1 0.000 0.089 0.500 (multiplicity 2)
P1 0.000 0.773 0.279 (multiplicity 4)
P2 0.010 0.297 0.223 (multiplicity 4)
P3 0.199 0.548 0.947 (multiplicity 4)
P4 0.200 0.529 0.461 (multiplicity 4)
O1 0.035 0.253 0.657 (multiplicity 4)
O2 0.037 0.918 0.652 (multiplicity 4)
O3 0.041 0.808 0.165 (multiplicity 4)
O4 0.054 0.159 0.171 (multiplicity 4)
O5 0.100 0.397 0.913 (multiplicity 4)
O6 0.111 0.685 0.435 (multiplicity 4)
O7 0.117 0.653 0.783 (multiplicity 4)
O8 0.121 0.431 0.303 (multiplicity 4)
O9 0.182 0.090 0.549 (multiplicity 4)
O10 0.189 0.982 0.060 (multiplicity 4)
O11 0.213 0.635 0.084 (multiplicity 4)
O12 0.221 0.439 0.599 (multiplicity 4)

=====

[6]
Crystalline LiMoPO5 at its relaxed geometry. Source: Alexandria, functional GGA-PBEsol.

Computed properties:
DOS(E_F) = 2.4 states/eV per cell
magnetization = 7.81 μB/cell
raw formation energy = -2114 meV/atom
energy above the lowest structure with this stoichiometry = 0.000 kcal/mol of atoms
calculated volume = 361 Å³ per cell

Unit cell a=7.041 b=7.234 c=7.949 alpha=89.82 beta=87.77 gamma=63.31
Space group P-1 (No. 2)
Unique sites:
Li1 0.188 0.299 0.435 (multiplicity 2)
Li2 0.301 0.775 0.066 (multiplicity 2)
Mo1 0.252 0.501 0.753 (multiplicity 2)
Mo2 0.252 0.998 0.747 (multiplicity 2)
P1 0.227 0.743 0.402 (multiplicity 2)
P2 0.274 0.247 0.098 (multiplicity 2)
O1 0.063 0.402 0.182 (multiplicity 2)
O2 0.078 0.845 0.256 (multiplicity 2)
O3 0.136 0.622 0.517 (multiplicity 2)
O4 0.231 0.760 0.833 (multiplicity 2)
O5 0.253 0.073 0.001 (multiplicity 2)
O6 0.255 0.909 0.505 (multiplicity 2)
O7 0.261 0.245 0.688 (multiplicity 2)
O8 0.368 0.360 0.980 (multiplicity 2)
O9 0.420 0.157 0.249 (multiplicity 2)
O10 0.438 0.591 0.316 (multiplicity 2)

=====

[7]
Crystalline LiMoP2O8 at its relaxed geometry. Source: Alexandria, functional GGA-PBEsol.

Computed properties:
magnetization = 4.00 μB/cell
raw formation energy = -2140 meV/atom
energy above the lowest structure with this stoichiometry = 0.000 kcal/mol of atoms
calculated volume = 613 Å³ per cell

Unit cell a=5.142 b=10.643 c=11.205 alpha=90.00 beta=90.00 gamma=90.00
Space group P2_12_12_1 (No. 19)
Unique sites:
Li1 0.225 0.244 0.087 (multiplicity 4)
Mo1 0.228 0.909 0.851 (multiplicity 4)
P1 0.202 0.592 0.962 (multiplicity 4)
P2 0.239 0.639 0.328 (multiplicity 4)
O1 0.022 0.828 0.707 (multiplicity 4)
O2 0.050 0.663 0.225 (multiplicity 4)
O3 0.068 0.046 0.497 (multiplicity 4)
O4 0.095 0.442 0.556 (multiplicity 4)
O5 0.146 0.704 0.440 (multiplicity 4)
O6 0.206 0.727 0.923 (multiplicity 4)
O7 0.233 0.489 0.345 (multiplicity 4)
O8 0.244 0.049 0.785 (multiplicity 4)

=====

[8]
Crystalline Li3Mo2P5O18 at its relaxed geometry. Source: Alexandria, functional GGA-PBEsol.

Computed properties:
DOS(E_F) = 11.0 states/eV per cell
magnetization = 8.00 μB/cell
raw formation energy = -2102 meV/atom
calculated volume = 641 Å³ per cell

Unit cell a=6.528 b=9.405 c=10.527 alpha=96.14 beta=92.78 gamma=92.15
Space group P-1 (No. 2)
Unique sites:
Li1 0.024 0.242 0.088 (multiplicity 2)
Li2 0.379 0.802 0.839 (multiplicity 2)
Li3 0.464 0.106 0.354 (multiplicity 2)
Mo1 0.164 0.235 0.547 (multiplicity 2)
Mo2 0.273 0.643 0.091 (multiplicity 2)
P1 0.022 0.963 0.706 (multiplicity 2)
P2 0.222 0.413 0.855 (multiplicity 2)
P3 0.273 0.984 0.101 (multiplicity 2)
P4 0.317 0.414 0.319 (multiplicity 2)
P5 0.342 0.719 0.400 (multiplicity 2)
O1 0.035 0.347 0.917 (multiplicity 2)
O2 0.088 0.941 0.190 (multiplicity 2)
O3 0.117 0.839 0.760 (multiplicity 2)
O4 0.147 0.747 0.468 (multiplicity 2)
O5 0.155 0.086 0.398 (multiplicity 2)
O6 0.158 0.370 0.414 (multiplicity 2)
O7 0.171 0.068 0.650 (multiplicity 2)
O8 0.200 0.372 0.709 (multiplicity 2)
O9 0.204 0.102 0.026 (multiplicity 2)
O10 0.221 0.461 0.194 (multiplicity 2)
O11 0.230 0.577 0.896 (multiplicity 2)
O12 0.280 0.834 0.017 (multiplicity 2)
O13 0.312 0.745 0.260 (multiplicity 2)
O14 0.415 0.560 0.399 (multiplicity 2)
O15 0.424 0.359 0.912 (multiplicity 2)
O16 0.465 0.018 0.186 (multiplicity 2)
O17 0.475 0.191 0.535 (multiplicity 2)
O18 0.479 0.307 0.298 (multiplicity 2)